Computed, not measured: an optimized crystal structure of Al2SnOs at the PBE level of DFT.

```
Al2SnOs
1.0
4.112 0.000 0.000
0.000 4.112 0.000
0.000 0.000 17.774
Al Sn Os
8 4 4
Cartesian
0.844 1.028 2.222
1.028 2.900 6.665
1.028 3.269 15.553
1.212 1.028 11.109
2.900 3.084 11.109
3.084 0.844 15.553
3.084 1.212 6.665
3.269 3.084 2.222
0.000 0.000 8.887
0.000 2.056 13.331
2.056 0.000 4.444
2.056 2.056 0.000
0.000 0.000 0.000
0.000 2.056 4.444
2.056 0.000 13.331
2.056 2.056 8.887
```

## Properties
V	300.6	Å³ per cell
M_tot	0.0	μB/f.u.
ΔH_f (0 K)	322	meV/atom

***

Computed, not measured: an optimized crystal structure of YGa2GeCl at the PBE level of DFT.

```
YGa2GeCl
1.0
4.880 0.000 0.000
0.000 4.880 0.000
0.000 0.000 5.257
Y Ga Ge Cl
1 2 1 1
Cartesian
0.000 0.000 0.000
0.000 2.440 2.629
2.440 0.000 2.629
2.440 2.440 2.629
2.440 2.440 0.000
```

## Properties
V	125.2	Å³ per cell
calculated total energy	-18.606	eV/cell
M_tot	0.0	μB/f.u.

***

Computed, not measured: an optimized crystal structure of PmSiSe3 at the PBE level of DFT.

```
PmSiSe3
1.0
8.067 0.000 0.000
0.000 6.639 0.000
0.000 0.000 9.192
Pm Si Se
4 4 12
Cartesian
0.925 0.231 0.000
3.108 3.550 4.596
4.959 3.088 0.000
7.141 6.408 4.596
0.582 3.496 2.115
3.451 0.177 6.711
4.615 6.462 2.115
7.485 3.142 6.711
0.243 2.602 4.464
1.392 5.583 2.793
1.473 5.573 6.375
2.560 2.254 1.779
2.641 2.264 7.389
3.791 5.921 9.060
4.276 0.718 4.464
5.426 4.375 2.793
5.506 4.385 6.375
6.594 1.066 1.779
6.674 1.056 7.389
7.824 4.037 9.060
```

## Properties
V	492.2	Å³ per cell
energy relative to the lowest polymorph listed for this composition	166	meV per atom
M_tot	0.0	μB/f.u.

***

Computed, not measured: an optimized crystal structure of Cr5Se3 at the PBE level of DFT.

```
Cr5Se3
1.0
3.322 -6.562 0.000
3.322 6.562 0.000
-1.135 0.000 6.206
Cr Se
10 6
Cartesian
0.000 0.000 0.000
1.671 1.414 0.669
2.903 4.144 4.585
1.992 1.370 4.369
1.671 -1.414 0.669
1.992 -1.370 4.369
3.746 0.000 0.108
5.482 1.426 1.946
2.903 -4.144 4.585
5.482 -1.426 1.946
1.054 2.929 2.614
-0.173 0.000 3.853
1.054 -2.929 2.614
3.312 0.000 2.550
3.961 2.135 5.769
3.961 -2.135 5.769
```

## Properties
V	270.5	Å³ per cell
energy relative to the lowest polymorph listed for this composition	0	meV per atom
M_tot	3.8	μB/f.u.

***

Computed, not measured: an optimized crystal structure of LaAsS2 at the PBE level of DFT.

```
LaAsS2
1.0
5.076 0.000 0.000
0.000 5.076 0.000
0.000 0.000 16.548
La As S
4 4 8
Cartesian
0.000 0.000 0.000
0.000 2.538 4.137
2.538 0.000 12.411
2.538 2.538 8.274
0.000 0.000 8.274
0.000 2.538 12.411
2.538 0.000 4.137
2.538 2.538 0.000
1.085 1.269 10.342
1.269 3.624 14.479
1.269 3.991 6.205
1.453 1.269 2.068
3.624 3.807 2.068
3.807 1.085 6.205
3.807 1.453 14.479
3.991 3.807 10.342
```

## Properties
V	426.4	Å³ per cell
calculated total energy	-83.632	eV/cell
M_tot	0.0	μB/f.u.

***

Computed, not measured: an optimized crystal structure of LiCa2Si at the PBE level of DFT.

```
LiCa2Si
1.0
3.554 0.000 0.000
0.000 3.698 0.000
0.000 0.000 8.032
Li Ca Si
1 2 1
Cartesian
0.000 0.000 0.000
0.000 0.000 2.921
1.777 1.849 5.939
1.777 1.849 1.048
```

## Properties
V	105.6	Å³ per cell
calculated total energy	-11.658	eV/cell
M_tot	0.0	μB/f.u.

***

Computed, not measured: an optimized crystal structure of PmAlSn2 at the PBE level of DFT.

```
PmAlSn2
1.0
3.850 0.000 0.000
0.000 3.850 0.000
0.000 0.000 6.753
Pm Al Sn
1 1 2
Cartesian
0.000 0.000 0.000
0.000 0.000 3.377
1.925 1.925 1.916
1.925 1.925 4.837
```

## Properties
V	100.1	Å³ per cell
energy relative to the lowest polymorph listed for this composition	110	meV per atom
M_tot	0.0	μB/f.u.
ΔH_f (0 K)	-319	meV/atom

***

Computed, not measured: an optimized crystal structure of LiMgH3 at the PBE level of DFT.

```
LiMgH3
1.0
3.727 0.000 0.000
0.000 3.727 0.000
0.000 0.000 3.727
Li Mg H
1 1 3
Cartesian
0.000 0.000 0.000
1.864 1.864 1.864
0.000 1.864 1.864
1.864 0.000 1.864
1.864 1.864 0.000
```

## Properties
V	51.8	Å³ per cell
energy relative to the lowest polymorph listed for this composition	134	meV per atom
M_tot	0.0	μB/f.u.

***

Computed, not measured: an optimized crystal structure of FeSnSCl2 at the PBE level of DFT.

```
FeSnSCl2
1.0
5.110 0.000 0.000
0.000 5.110 0.000
0.000 0.000 5.004
Fe Sn S Cl
1 1 1 2
Cartesian
0.000 0.000 0.000
2.555 2.555 2.502
2.555 2.555 0.000
0.000 2.555 2.502
2.555 0.000 2.502
```

## Properties
V	130.6	Å³ per cell
energy relative to the lowest polymorph listed for this composition	467	meV per atom
M_tot	3.7	μB/f.u.

***

Computed, not measured: an optimized crystal structure of HgGe2OsO at the PBE level of DFT.

```
HgGe2OsO
1.0
4.948 0.000 0.000
0.000 4.948 0.000
0.000 0.000 3.754
Hg Ge Os O
1 2 1 1
Cartesian
0.000 0.000 0.000
0.000 2.474 1.877
2.474 0.000 1.877
2.474 2.474 0.000
2.474 2.474 1.877
```

## Properties
V	91.9	Å³ per cell
calculated total energy	-23.773	eV/cell
M_tot	0.0	μB/f.u.

***

Computed, not measured: an optimized crystal structure of NaY2Sn9 at the PBE level of DFT.

```
NaY2Sn9
1.0
4.693 0.000 0.000
0.000 4.693 0.000
0.000 0.000 14.360
Na Y Sn
1 2 9
Cartesian
0.000 0.000 0.000
0.000 0.000 4.854
0.000 0.000 9.506
0.000 2.347 2.387
0.000 2.347 7.180
0.000 2.347 11.973
2.347 0.000 2.387
2.347 0.000 7.180
2.347 0.000 11.973
2.347 2.347 0.000
2.347 2.347 4.758
2.347 2.347 9.602
```

## Properties
V	316.3	Å³ per cell
M_tot	0.0	μB/f.u.
ΔH_f (0 K)	-333	meV/atom

***

Computed, not measured: an optimized crystal structure of Cu2Hg2Ir at the PBE level of DFT.

```
Cu2Hg2Ir
1.0
6.614 0.000 0.000
0.000 6.614 0.000
0.000 0.000 3.809
Cu Hg Ir
4 4 2
Cartesian
0.851 2.456 0.000
2.456 5.763 0.000
4.158 0.851 0.000
5.763 4.158 0.000
1.169 4.476 1.905
2.138 1.169 1.905
4.476 5.445 1.905
5.445 2.138 1.905
0.000 0.000 0.000
3.307 3.307 0.000
```

## Properties
V	166.7	Å³ per cell
M_tot	0.0	μB/f.u.
ΔH_f (0 K)	421	meV/atom

***

Computed, not measured: an optimized crystal structure of Rb3CdBi2 at the PBE level of DFT.

```
Rb3CdBi2
1.0
-4.749 7.882 3.861
4.749 -7.882 3.861
4.749 7.882 -3.861
Rb Cd Bi
6 2 4
Cartesian
6.452 2.766 0.000
0.000 0.000 1.930
1.703 5.115 0.000
3.047 2.766 3.861
0.000 0.000 5.791
-1.703 5.115 3.861
4.749 0.000 1.930
0.000 7.882 1.930
2.917 1.468 0.000
2.917 -1.468 3.861
1.833 9.349 0.000
1.833 6.414 3.861
```

## Properties
V	578.1	Å³ per cell
M_tot	0.0	μB/f.u.
ΔH_f (0 K)	-265	meV/atom

***

Computed, not measured: an optimized crystal structure of InB2As2 at the PBE level of DFT.

```
InB2As2
1.0
7.210 0.000 0.000
0.000 7.210 0.000
0.000 0.000 3.182
In B As
2 4 4
Cartesian
0.000 0.000 0.000
3.605 3.605 0.000
0.616 2.989 0.000
2.989 6.594 0.000
4.221 0.616 0.000
6.594 4.221 0.000
1.023 4.628 1.591
2.582 1.023 1.591
4.628 6.187 1.591
6.187 2.582 1.591
```

## Properties
V	165.4	Å³ per cell
energy relative to the lowest polymorph listed for this composition	213	meV per atom
M_tot	0.0	μB/f.u.
ΔH_f (0 K)	939	meV/atom

***

Computed, not measured: an optimized crystal structure of HgTeRu at the PBE level of DFT.

```
HgTeRu
1.0
6.458 0.000 0.000
0.000 6.458 0.000
0.000 0.000 6.458
Hg Te Ru
4 4 4
Cartesian
0.000 0.000 0.000
0.000 3.229 3.229
3.229 0.000 3.229
3.229 3.229 0.000
0.000 0.000 3.229
0.000 3.229 0.000
3.229 0.000 0.000
3.229 3.229 3.229
1.615 1.615 1.615
1.615 4.844 4.844
4.844 1.615 4.844
4.844 4.844 1.615
```

## Properties
V	269.3	Å³ per cell
energy relative to the lowest polymorph listed for this composition	266	meV per atom
M_tot	0.0	μB/f.u.

***

Computed, not measured: an optimized crystal structure of KNp2TeSe4 at the PBE level of DFT.

```
KNp2TeSe4
1.0
2.055 -7.530 0.000
2.055 7.530 0.000
0.000 0.000 14.275
K Np Te Se
2 4 2 8
Cartesian
2.055 5.178 10.706
2.055 -5.178 3.569
2.055 1.847 8.331
2.055 1.847 13.080
2.055 -1.847 1.194
2.055 -1.847 5.943
2.055 5.528 3.569
2.055 -5.528 10.706
0.000 0.000 0.000
0.000 0.000 7.137
2.055 3.554 1.245
2.055 3.554 5.893
2.055 0.051 3.569
2.055 -0.051 10.706
2.055 -3.554 8.382
2.055 -3.554 13.030
```

## Properties
V	441.8	Å³ per cell
calculated total energy	-101.459	eV/cell
M_tot	6.6	μB/f.u.

***

Computed, not measured: an optimized crystal structure of HfV2In at the PBE level of DFT.

```
HfV2In
1.0
7.366 0.000 0.000
0.000 7.366 0.000
0.000 0.000 5.610
Hf V In
4 8 4
Cartesian
0.000 0.000 0.000
0.000 3.683 1.403
3.683 0.000 4.208
3.683 3.683 2.805
1.820 1.841 3.506
1.841 5.503 4.909
1.841 5.546 2.104
1.863 1.841 0.701
5.503 5.524 0.701
5.524 1.820 2.104
5.524 1.863 4.909
5.546 5.524 3.506
0.000 0.000 2.805
0.000 3.683 4.208
3.683 0.000 1.403
3.683 3.683 0.000
```

## Properties
V	304.4	Å³ per cell
M_tot	0.0	μB/f.u.
ΔH_f (0 K)	751	meV/atom

***

Computed, not measured: an optimized crystal structure of AcPrSe3 at the PBE level of DFT.

```
AcPrSe3
1.0
8.040 0.000 0.000
0.000 4.393 0.000
0.000 0.000 16.731
Ac Pr Se
4 4 12
Cartesian
1.145 1.098 3.359
2.875 3.294 11.724
5.165 1.098 5.007
6.896 3.294 13.373
1.859 3.294 7.633
2.161 1.098 15.998
5.879 3.294 0.733
6.181 1.098 9.099
0.081 1.098 6.588
1.007 3.294 1.029
1.202 1.098 13.111
2.819 3.294 4.746
3.013 1.098 9.395
3.940 3.294 14.953
4.101 1.098 1.778
5.027 3.294 7.337
5.222 1.098 11.986
6.839 3.294 3.620
7.033 1.098 15.702
7.960 3.294 10.144
```

## Properties
V	590.9	Å³ per cell
energy relative to the lowest polymorph listed for this composition	0	meV per atom
M_tot	0.0	μB/f.u.

***

Computed, not measured: an optimized crystal structure of KSr2Au6 at the PBE level of DFT.

```
KSr2Au6
1.0
8.300 0.000 0.000
-4.150 7.188 0.000
0.000 0.000 4.010
K Sr Au
1 2 6
Cartesian
0.000 0.000 0.000
0.000 4.792 0.000
4.150 2.396 0.000
-1.390 2.407 2.005
-2.760 4.781 2.005
2.779 0.000 2.005
1.390 2.407 2.005
5.521 0.000 2.005
2.760 4.781 2.005
```

## Properties
V	239.3	Å³ per cell
energy relative to the lowest polymorph listed for this composition	0	meV per atom
M_tot	0.0	μB/f.u.
ΔH_f (0 K)	-564	meV/atom

***

Computed, not measured: an optimized crystal structure of Li2LaMg at the PBE level of DFT.

```
Li2LaMg
1.0
3.543 0.000 0.000
0.000 5.722 0.000
0.000 0.000 10.479
Li La Mg
4 2 2
Cartesian
0.000 0.000 2.335
0.000 0.000 8.144
1.771 2.861 2.905
1.771 2.861 7.575
0.000 2.861 0.000
1.771 0.000 5.240
0.000 2.861 5.240
1.771 0.000 0.000
```

## Properties
V	212.4	Å³ per cell
M_tot	0.0	μB/f.u.
ΔH_f (0 K)	78	meV/atom

***

Computed, not measured: an optimized crystal structure of ThPaN3 at the PBE level of DFT.

```
ThPaN3
1.0
1.880 -7.137 0.000
1.880 7.137 0.000
0.000 0.000 5.876
Th Pa N
2 2 6
Cartesian
1.880 4.492 2.938
1.880 -4.492 0.000
1.880 0.803 2.722
1.880 -0.803 5.660
1.880 6.795 4.348
1.880 2.554 1.506
1.880 2.218 4.312
1.880 -2.218 1.375
1.880 -2.554 4.444
1.880 -6.795 1.411
```

## Properties
V	157.7	Å³ per cell
calculated total energy	-99.681	eV/cell
M_tot	0.0	μB/f.u.

***

Computed, not measured: an optimized crystal structure of Y3Cu3Pd at the PBE level of DFT.

```
Y3Cu3Pd
1.0
3.753 0.000 0.000
0.000 4.260 0.000
0.000 0.000 18.493
Y Cu Pd
6 6 2
Cartesian
0.000 0.000 0.000
0.000 0.000 6.837
0.000 2.130 3.450
1.876 0.000 12.697
1.876 2.130 9.247
1.876 2.130 16.084
0.000 0.000 10.086
0.000 0.000 15.404
0.000 2.130 11.391
1.876 0.000 2.144
1.876 2.130 0.840
1.876 2.130 6.158
0.000 2.130 13.890
1.876 0.000 4.644
```

## Properties
V	295.7	Å³ per cell
M_tot	0.0	μB/f.u.
ΔH_f (0 K)	-394	meV/atom

***

Computed, not measured: an optimized crystal structure of SrTc2Rh at the PBE level of DFT.

```
SrTc2Rh
1.0
2.837 0.000 0.000
0.000 4.137 0.000
0.000 0.000 6.766
Sr Tc Rh
1 2 1
Cartesian
0.000 0.000 0.000
1.418 2.068 2.250
1.418 2.068 4.517
0.000 0.000 3.383
```

## Properties
V	79.4	Å³ per cell
energy relative to the lowest polymorph listed for this composition	263	meV per atom
M_tot	0.0	μB/f.u.
ΔH_f (0 K)	595	meV/atom